Record 1
First-principles (PBE) data for a relaxed Pm5ErAl3 crystal, as listed in the Alexandria database.

Lattice parameters (Å, degrees): 6.777 9.238 9.239 119.99 90.00 90.00
Sites, in units of the cell vectors:
Er1 0.500 0.000 0.000
Pm1 0.750 0.000 0.335
Al1 0.250 0.000 0.327
Pm2 0.000 0.667 0.334
Er2 0.000 0.000 0.000
Pm3 0.250 0.000 0.665
Pm4 0.750 0.665 0.665
Pm5 0.000 0.333 0.666
Pm6 0.250 0.335 0.335
Pm7 0.500 0.667 0.334
Pm8 0.500 0.333 0.666
Al2 0.250 0.327 0.000
Pm9 0.750 0.335 0.000
Al3 0.750 0.673 0.000
Al4 0.250 0.673 0.673
Al5 0.750 0.327 0.327
Pm10 0.250 0.665 0.000
Al6 0.750 0.000 0.673

Output
Calculated formation energy   -0.242 eV/atom
Total magnetization   0.00 μB/f.u.
Mass density   6.45 g/cm³

***

Record 2
First-principles (PBE) data for a relaxed Dy3TiTl4S8 crystal, as listed in the Alexandria database.

Lattice parameters (Å, degrees): 7.867 8.789 7.866 116.59 120.00 90.00
Each line ends with the local moment (μB).
Sites, in units of the cell vectors:
Tl1 0.000 0.000 0.500  0.00
S1 0.266 0.299 0.533  0.00
Dy1 0.500 0.500 0.000  0.02
Dy2 0.000 0.500 0.500  0.02
S2 0.779 0.308 0.558  -0.01
S3 0.221 0.692 0.442  -0.01
Tl2 0.500 0.000 0.000  0.00
S4 0.779 0.308 0.029  -0.01
S5 0.221 0.692 0.971  -0.01
Tl3 0.000 0.000 0.000  0.00
Dy3 0.500 0.500 0.500  0.02
Ti1 0.000 0.500 0.000  0.84
Tl4 0.500 0.000 0.500  0.00
S6 0.250 0.308 0.029  -0.01
S7 0.734 0.701 0.467  0.00
S8 0.750 0.692 0.971  -0.01

Output
Total magnetization   1.01 μB/f.u.
Mass density   6.63 g/cm³
Uncorrected formation energy   -21.16 eV/f.u.

***

Record 3
First-principles (PBE) data for a relaxed Dy4YHo15 crystal, as listed in the Alexandria database.

Lattice parameters (Å, degrees): 4.994 4.994 24.963 90.00 90.00 90.00
Sites, in units of the cell vectors:
Ho1 0.500 0.000 0.900
Ho2 0.000 0.500 0.900
Ho3 0.500 0.500 0.000
Ho4 0.000 0.500 0.700
Ho5 0.500 0.000 0.100
Ho6 0.000 0.500 0.500
Ho7 0.000 0.500 0.300
Dy1 0.000 0.000 0.600
Ho8 0.500 0.500 0.200
Ho9 0.500 0.500 0.400
Ho10 0.500 0.000 0.300
Dy2 0.000 0.000 0.200
Dy3 0.000 0.000 0.800
Ho11 0.500 0.000 0.700
Ho12 0.500 0.500 0.600
Ho13 0.500 0.500 0.800
Dy4 0.000 0.000 0.400
Ho14 0.000 0.500 0.100
Ho15 0.500 0.000 0.500
Y1 0.000 0.000 0.000

Output
Calculated formation energy   0.020 eV/atom
Total magnetization   0.00 μB/f.u.
Mass density   8.57 g/cm³

***

Record 4
First-principles (PBE) data for a relaxed TmTl3Sb3S8 crystal, as listed in the Alexandria database.

Lattice parameters (Å, degrees): 7.927 7.922 8.731 116.90 90.01 120.03
Sites, in units of the cell vectors:
Sb1 0.500 0.000 0.500
Sb2 0.000 0.500 0.500
Tl1 0.000 0.000 0.000
Sb3 0.500 0.500 0.500
S1 0.767 0.534 0.299
S2 0.263 0.527 0.290
S3 0.735 0.968 0.701
S4 0.233 0.968 0.701
S5 0.233 0.466 0.701
S6 0.265 0.032 0.299
S7 0.767 0.032 0.299
Tm1 0.000 0.000 0.500
Tl2 0.500 0.500 0.000
S8 0.737 0.473 0.710
Tl3 0.000 0.500 0.000

Output
Total magnetization   0.00 μB/f.u.
Mass density   5.76 g/cm³
Uncorrected formation energy   -8.74 eV/f.u.

***

Record 5
First-principles (PBE) data for a relaxed Ag3BO crystal, as listed in the Alexandria database.

Lattice parameters (Å, degrees): 4.273 4.273 4.273 90.00 90.00 90.00
Sites, in units of the cell vectors:
Ag1 0.000 0.000 0.500
O1 0.500 0.500 0.500
Ag2 0.000 0.500 0.000
Ag3 0.500 0.000 0.000
B1 0.000 0.000 0.000

Output
Total magnetization   0.00 μB/f.u.
Mass density   7.46 g/cm³
Uncorrected formation energy   3.91 eV/f.u.

***

Record 6
First-principles (PBE) data for a relaxed Sm3HoRu crystal, as listed in the Alexandria database.

Lattice parameters (Å, degrees): 5.470 5.470 5.470 90.00 90.00 90.00
Sites, in units of the cell vectors:
Sm1 0.000 0.500 0.000
Ho1 0.500 0.500 0.500
Sm2 0.500 0.000 0.000
Sm3 0.000 0.000 0.500
Ru1 0.000 0.000 0.000

Output
Calculated formation energy   0.028 eV/atom
Total magnetization   0.04 μB/f.u.
Mass density   7.27 g/cm³

***

Record 7
First-principles (PBE) data for a relaxed Ac2Al4TlAu3 crystal, as listed in the Alexandria database.

Lattice parameters (Å, degrees): 4.608 4.608 10.770 90.00 90.00 90.00
Sites, in units of the cell vectors:
Al1 0.500 0.500 0.000
Al2 0.500 0.000 0.642
Al3 0.000 0.000 0.000
Ac1 0.500 0.000 0.246
Au1 0.000 0.500 0.120
Al4 0.000 0.500 0.358
Au2 0.500 0.000 0.880
Ac2 0.000 0.500 0.754
Au3 0.000 0.000 0.500
Tl1 0.500 0.500 0.500

Output
Calculated formation energy   -0.613 eV/atom
Total magnetization   0.00 μB/f.u.
Mass density   9.86 g/cm³

***

Record 8
First-principles (PBE) data for a relaxed Ca2Ga4Au5 crystal, as listed in the Alexandria database.

Lattice parameters (Å, degrees): 6.045 5.784 8.475 79.26 69.11 58.50
Sites, in units of the cell vectors:
Au1 0.500 0.000 0.000
Au2 0.750 0.500 0.500
Au3 0.250 0.500 0.500
Ga1 0.216 0.302 0.266
Ga2 0.482 0.302 0.734
Au4 0.500 0.500 0.000
Au5 0.000 0.500 0.000
Ga3 0.784 0.698 0.734
Ga4 0.518 0.698 0.266
Ca1 0.138 0.000 0.725
Ca2 0.862 0.000 0.275

Output
Calculated formation energy   -0.439 eV/atom
Total magnetization   0.00 μB/f.u.
Mass density   9.45 g/cm³

***

Record 9
First-principles (PBE) data for a relaxed Sr3MgV crystal, as listed in the Alexandria database.

Lattice parameters (Å, degrees): 6.195 6.195 6.195 90.00 90.00 90.00
Each line ends with the local moment (μB).
Sites, in units of the cell vectors:
Mg1 0.500 0.500 0.500  -0.01
Sr1 0.000 0.000 0.500  0.11
V1 0.000 0.000 0.000  3.22
Sr2 0.000 0.500 0.000  0.11
Sr3 0.500 0.000 0.000  0.11

Output
Calculated formation energy   0.655 eV/atom
Total magnetization   5.06 μB/f.u.
Mass density   2.36 g/cm³

***

Record 10
First-principles (PBE) data for a relaxed Ac4Ru2I5 crystal, as listed in the Alexandria database.

Lattice parameters (Å, degrees): 4.503 9.302 11.465 113.93 101.33 90.00
Sites, in units of the cell vectors:
I1 0.500 0.000 0.000
I2 0.171 0.387 0.341
I3 0.829 0.046 0.659
Ac1 0.000 0.707 0.000
I4 0.171 0.954 0.341
Ru1 0.559 0.559 0.118
Ac2 0.677 0.677 0.354
Ru2 0.441 0.441 0.882
Ac3 0.000 0.293 0.000
Ac4 0.323 0.323 0.646
I5 0.829 0.613 0.659

Output
Total magnetization   0.00 μB/f.u.
Mass density   6.76 g/cm³
Uncorrected formation energy   -9.38 eV/f.u.

***

Record 11
First-principles (PBE) data for a relaxed TiZnPtO6 crystal, as listed in the Alexandria database.

Lattice parameters (Å, degrees): 5.118 5.118 8.876 90.00 90.00 120.00
Sites, in units of the cell vectors:
O1 0.351 0.348 0.370
O2 0.652 0.003 0.370
O3 0.649 0.652 0.630
O4 0.997 0.348 0.130
Ti1 0.667 0.333 0.250
O5 0.997 0.649 0.370
Ti2 0.333 0.667 0.750
Pt1 0.667 0.333 0.750
O6 0.003 0.351 0.630
O7 0.652 0.649 0.130
Zn1 0.000 0.000 0.500
O8 0.649 0.997 0.870
O9 0.003 0.652 0.870
O10 0.348 0.997 0.630
O11 0.351 0.003 0.130
Zn2 0.000 0.000 0.000
O12 0.348 0.351 0.870
Pt2 0.333 0.667 0.250

Output
Total magnetization   0.18 μB/f.u.
Mass density   6.67 g/cm³
Uncorrected formation energy   -11.96 eV/f.u.

***

Record 12
First-principles (PBE) data for a relaxed PrAs2Pd3 crystal, as listed in the Alexandria database.

Lattice parameters (Å, degrees): 8.662 8.662 10.124 72.66 72.66 27.84
Sites, in units of the cell vectors:
Pd1 0.043 0.043 0.665
As1 0.463 0.463 0.787
Pd2 0.500 0.500 0.500
As2 0.363 0.363 0.453
As3 0.637 0.637 0.547
Pd3 0.780 0.780 0.392
As4 0.800 0.800 0.131
Pd4 0.957 0.957 0.335
As5 0.200 0.200 0.869
Pd5 0.321 0.321 0.967
Pr1 0.154 0.154 0.300
Pd6 0.374 0.374 0.203
Pr2 0.000 0.000 0.000
Pd7 0.220 0.220 0.608
Pd8 0.626 0.626 0.797
Pd9 0.679 0.679 0.033
As6 0.537 0.537 0.213
Pr3 0.846 0.846 0.700

Output
Calculated formation energy   -0.819 eV/atom
Total magnetization   0.00 μB/f.u.
Mass density   9.00 g/cm³